1.
{
  "formula": "Tb6ZnIn3",
  "functional": "PBE",
  "state": "optimized geometry",
  "lattice_angstrom": [[-0.953, -2.630, -4.483], [-4.822, -6.329, 4.737], [-7.362, 8.412, -3.369]],
  "species": ["Tb", "Tb", "Tb", "Tb", "Tb", "Tb", "Tb", "Tb", "Tb", "Tb", "Tb", "Tb", "In", "In", "In", "In", "In", "In", "Zn", "Zn"],
  "fractional_positions": [[0.250, 0.853, 0.320], [0.750, 0.766, 0.504], [0.250, 0.234, 0.496], [0.250, 0.099, 0.872], [0.250, 0.466, 0.088], [0.750, 0.330, 0.329], [0.250, 0.133, 0.161], [0.750, 0.867, 0.839], [0.750, 0.534, 0.912], [0.750, 0.901, 0.128], [0.750, 0.147, 0.680], [0.250, 0.670, 0.671], [0.750, 0.227, 0.030], [0.250, 0.379, 0.778], [0.250, 0.529, 0.382], [0.750, 0.621, 0.222], [0.250, 0.773, 0.970], [0.750, 0.471, 0.618], [0.250, 0.959, 0.600], [0.750, 0.041, 0.400]],
  "delta_e_f_ev_per_atom": -0.34,
  "dos_at_fermi_per_ev_atom": 1.023,
  "volume_a3_per_atom": 27.14,
  "m_tot_mub_per_fu": 0.000
}

---

2.
{
  "formula": "Tb3Zn8In3",
  "functional": "PBE",
  "state": "optimized geometry",
  "lattice_angstrom": [[4.365, 0.000, 0.000], [2.183, 8.172, -0.003], [2.183, 2.222, 7.864]],
  "species": ["Zn", "Zn", "Zn", "Zn", "Zn", "Zn", "Zn", "Zn", "In", "In", "In", "Tb", "Tb", "Tb"],
  "fractional_positions": [[0.166, 0.459, 0.209], [0.655, 0.609, 0.081], [0.834, 0.541, 0.791], [0.345, 0.919, 0.391], [0.345, 0.391, 0.919], [0.166, 0.209, 0.459], [0.655, 0.081, 0.609], [0.834, 0.791, 0.541], [0.500, 0.000, 0.000], [0.000, 0.218, 0.782], [0.000, 0.782, 0.218], [0.197, 0.803, 0.803], [0.500, 0.500, 0.500], [0.803, 0.197, 0.197]],
  "delta_e_f_ev_per_atom": -0.33,
  "dos_at_fermi_per_ev_atom": 0.331,
  "volume_a3_per_atom": 20.04,
  "m_tot_mub_per_fu": 0.000
}

---

3.
{
  "formula": "Tb3Zn2In4",
  "functional": "PBE",
  "state": "optimized geometry",
  "lattice_angstrom": [[-1.057, -4.387, -1.550], [3.259, -4.306, 2.620], [-5.093, -3.504, 6.047]],
  "species": ["Tb", "Tb", "Tb", "Zn", "Zn", "In", "In", "In", "In"],
  "fractional_positions": [[0.000, 0.000, 0.000], [0.666, 0.330, 0.337], [0.334, 0.670, 0.663], [0.611, 0.060, 0.717], [0.389, 0.940, 0.283], [0.280, 0.374, 0.066], [0.943, 0.732, 0.382], [0.720, 0.626, 0.934], [0.057, 0.268, 0.618]],
  "delta_e_f_ev_per_atom": -0.43,
  "dos_at_fermi_per_ev_atom": 0.542,
  "volume_a3_per_atom": 23.83,
  "m_tot_mub_per_fu": 0.000
}

---

4.
{
  "formula": "Tb3Zn8In",
  "functional": "PBE",
  "state": "optimized geometry",
  "lattice_angstrom": [[5.492, 0.000, 0.000], [2.746, 4.756, 0.000], [2.746, 1.585, 8.830]],
  "species": ["Zn", "Zn", "Zn", "Zn", "Zn", "Zn", "Zn", "Zn", "Tb", "Tb", "Tb", "In"],
  "fractional_positions": [[0.689, 0.689, 0.934], [0.187, 0.187, 0.440], [0.940, 0.431, 0.690], [0.439, 0.938, 0.183], [0.938, 0.439, 0.183], [0.431, 0.940, 0.690], [0.439, 0.439, 0.183], [0.940, 0.940, 0.690], [0.503, 0.503, 0.492], [0.995, 0.995, 0.014], [0.377, 0.377, 0.869], [0.873, 0.873, 0.382]],
  "delta_e_f_ev_per_atom": -0.27,
  "dos_at_fermi_per_ev_atom": 0.472,
  "volume_a3_per_atom": 19.22,
  "m_tot_mub_per_fu": 0.000
}

---

5.
{
  "formula": "Tb2Zn3In",
  "functional": "PBE",
  "state": "optimized geometry",
  "lattice_angstrom": [[5.802, -0.589, 0.000], [-0.814, 5.775, 0.000], [-2.494, -2.593, 7.946]],
  "species": ["Zn", "Zn", "Zn", "Zn", "Zn", "Zn", "In", "In", "Tb", "Tb", "Tb", "Tb"],
  "fractional_positions": [[0.837, 0.325, 0.161], [0.837, 0.837, 0.675], [0.325, 0.837, 0.161], [0.675, 0.163, 0.839], [0.163, 0.163, 0.325], [0.163, 0.675, 0.839], [0.335, 0.335, 0.669], [0.665, 0.665, 0.331], [0.750, 0.250, 0.500], [0.250, 0.750, 0.500], [0.758, 0.758, 0.000], [0.242, 0.242, 0.000]],
  "delta_e_f_ev_per_atom": -0.40,
  "dos_at_fermi_per_ev_atom": 0.743,
  "volume_a3_per_atom": 21.87,
  "m_tot_mub_per_fu": 0.001
}

---

6.
{
  "formula": "Tb4ZnIn3",
  "functional": "PBE",
  "state": "optimized geometry",
  "lattice_angstrom": [[3.625, 0.000, 0.000], [0.000, 3.625, 0.000], [0.000, 0.000, 15.739]],
  "species": ["In", "In", "In", "Tb", "Tb", "Tb", "Tb", "Zn"],
  "fractional_positions": [[0.500, 0.500, 0.500], [0.500, 0.500, 0.239], [0.500, 0.500, 0.761], [0.000, 0.000, 0.110], [0.000, 0.000, 0.890], [0.000, 0.000, 0.631], [0.000, 0.000, 0.369], [0.500, 0.500, 0.000]],
  "delta_e_f_ev_per_atom": -0.45,
  "dos_at_fermi_per_ev_atom": 0.615,
  "volume_a3_per_atom": 25.85,
  "m_tot_mub_per_fu": 0.000
}